[1]
Material: CrCu3Br
Method: DFT, GGA-PBE
State: optimized geometry

The structure in CIF format:
```
data_CrCu3Br
_chemical_formula_sum 'Cr1 Cu3 Br1'
_cell_length_a 4.6773
_cell_length_b 4.6773
_cell_length_c 4.6773
_cell_angle_alpha 90.00
_cell_angle_beta 90.00
_cell_angle_gamma 90.00
_space_group_name_H-M_alt 'P m -3 m'
_space_group_IT_number 221
_space_group_name_Hall '-P 4 2 3'
loop_
_atom_site_label
_atom_site_type_symbol
_atom_site_fract_x
_atom_site_fract_y
_atom_site_fract_z
Cr1 Cr 0.0000 0.0000 0.0000
Cu1 Cu 0.0000 0.5000 0.5000
Br1 Br 0.5000 0.5000 0.5000
```

Computed properties:
formation energy (no corrections): 1.20 eV per atom
theoretical density: 5234 kg/m3
DOS(E_F): 2.8 states/eV/cell
offset from the most stable computed form: 0.016 eV per atom
crystal system: cubic
size of the total moment: 0.9437 μB per atom


[2]
Material: FeTcW2
Method: DFT, GGA-PBE
State: optimized geometry

The structure in CIF format:
```
data_FeTcW2
_chemical_formula_sum 'Fe2 Tc2 W4'
_cell_length_a 3.1219
_cell_length_b 4.3987
_cell_length_c 8.5852
_cell_angle_alpha 90.00
_cell_angle_beta 90.00
_cell_angle_gamma 90.00
_space_group_name_H-M_alt 'C m m m'
_space_group_IT_number 65
_space_group_name_Hall '-C 2 2'
loop_
_atom_site_label
_atom_site_type_symbol
_atom_site_fract_x
_atom_site_fract_y
_atom_site_fract_z
Fe1 Fe 0.0000 0.0000 0.0000
Tc1 Tc 0.0000 0.0000 0.5000
W1 W 0.0000 0.5000 0.2410
```

Computed properties:
theoretical density: 14692 kg/m3
formation energy: 0.5 eV/f.u.
DOS(E_F): 6.2 states/eV/cell
offset from the most stable computed form: 0.024 eV per atom
crystal system: orthorhombic
size of the total moment: 0.4813 μB per atom


[3]
Material: ZnPd6Pt2
Method: DFT, GGA-PBE
State: optimized geometry

The structure in CIF format:
```
data_ZnPd6Pt2
_chemical_formula_sum 'Zn2 Pd12 Pt4'
_cell_length_a 7.4216
_cell_length_b 4.7264
_cell_length_c 9.6841
_cell_angle_alpha 90.00
_cell_angle_beta 125.41
_cell_angle_gamma 90.00
_space_group_name_H-M_alt 'P 1 21/c 1'
_space_group_IT_number 14
loop_
_space_group_symop_operation_xyz
'x,y,z'
'-x,-y,-z'
'-x,y+1/2,-z+1/2'
'x,-y+1/2,z+1/2'
loop_
_atom_site_label
_atom_site_type_symbol
_atom_site_fract_x
_atom_site_fract_y
_atom_site_fract_z
Zn1 Zn 0.0000 0.0000 0.0000
Pd1 Pd 0.1099 0.0693 0.7816
Pd2 Pd 0.2189 0.0322 0.5522
Pd3 Pd 0.4461 0.5507 0.6111
Pt1 Pt 0.3301 0.5636 0.8296
```

Computed properties:
theoretical density: 13124 kg/m3
formation energy: -1.0 eV/f.u.
DOS(E_F): 29.8 states/eV/cell
offset from the most stable computed form: 0.000 eV per atom
crystal system: monoclinic
size of the total moment: 0.0000 μB per atom